Record 1
{"formula": "YMn2Ag", "functional": "PBE", "state": "relaxed", "crystal_system": "monoclinic", "dos_ef_per_ev_cell": 3.3, "de_polymorph_mev_per_atom": 234, "density_g_cm3": 6.39, "formation_enthalpy_0k_mev_per_atom": 355, "space_group": "No. 10", "cell": [[-3.643, 1.424, 2.355], [1.677, -0.213, 2.722], [2.287, 5.080, 0.465]], "species": ["Mn", "Mn", "Ag", "Y"], "frac_coords": [[0.000, 0.906, 0.982], [0.000, 0.594, 0.518], [0.500, 0.750, 0.750], [0.500, 0.250, 0.250]]}

---

Record 2
{"formula": "YMn3Ag", "functional": "PBE", "state": "relaxed", "crystal_system": "cubic", "dos_ef_per_ev_cell": 4.0, "de_polymorph_mev_per_atom": 758, "density_g_cm3": 5.04, "formation_enthalpy_0k_mev_per_atom": 1629, "space_group": "No. 221", "cell": [[-0.176, -3.157, -3.769], [-1.472, -3.565, 3.055], [-4.691, 1.237, -0.817]], "species": ["Ag", "Mn", "Mn", "Mn", "Y"], "frac_coords": [[0.500, 0.500, 0.500], [0.000, 0.500, 0.000], [0.000, 0.000, 0.500], [0.500, 0.000, 0.000], [0.000, 0.000, 0.000]]}

---

Record 3
{"formula": "Y2MnAg", "functional": "PBE", "state": "relaxed", "crystal_system": "tetragonal", "dos_ef_per_ev_cell": 10.5, "density_g_cm3": 6.26, "formation_enthalpy_0k_mev_per_atom": 516, "space_group": "No. 122", "cell": [[7.568, 0.000, 0.000], [0.000, 7.568, 0.000], [3.784, 3.784, 3.157]], "species": ["Mn", "Mn", "Ag", "Ag", "Y", "Y", "Y", "Y"], "frac_coords": [[0.500, 0.500, 0.000], [0.250, 0.750, 0.500], [0.750, 0.250, 0.500], [0.000, 0.000, 0.000], [0.596, 0.125, 0.250], [0.875, 0.846, 0.750], [0.154, 0.625, 0.250], [0.375, 0.404, 0.750]]}

---

Record 4
{"formula": "YMnAg2", "functional": "PBE", "state": "relaxed", "crystal_system": "monoclinic", "dos_ef_per_ev_cell": 2.0, "density_g_cm3": 7.31, "formation_enthalpy_0k_mev_per_atom": 21, "space_group": "No. 10", "cell": [[-2.557, -2.296, 0.042], [2.091, -2.355, -1.499], [4.110, -4.492, 4.644]], "species": ["Ag", "Ag", "Mn", "Y"], "frac_coords": [[0.000, 0.964, 0.036], [0.000, 0.536, 0.464], [0.500, 0.250, 0.250], [0.500, 0.750, 0.750]]}

---

Record 5
{"formula": "Y4MnAg", "functional": "PBE", "state": "relaxed", "crystal_system": "cubic", "dos_ef_per_ev_cell": 6.9, "density_g_cm3": 4.99, "formation_enthalpy_0k_mev_per_atom": 651, "space_group": "No. 216", "cell": [[1.407, -5.440, -2.732], [2.667, -4.568, 3.325], [-3.255, -5.142, 1.418]], "species": ["Y", "Y", "Y", "Y", "Mn", "Ag"], "frac_coords": [[0.374, 0.877, 0.374], [0.374, 0.374, 0.374], [0.877, 0.374, 0.374], [0.374, 0.374, 0.877], [0.000, 0.000, 0.000], [0.750, 0.750, 0.750]]}

---

Record 6
{"formula": "YMn4Ag", "functional": "PBE", "state": "relaxed", "crystal_system": "cubic", "dos_ef_per_ev_cell": 8.4, "density_g_cm3": 7.97, "formation_enthalpy_0k_mev_per_atom": 329, "space_group": "No. 216", "cell": [[-0.628, 1.340, 4.744], [1.877, 4.301, 1.637], [-3.038, 3.765, 1.137]], "species": ["Mn", "Mn", "Mn", "Mn", "Y", "Ag"], "frac_coords": [[0.882, 0.373, 0.373], [0.373, 0.373, 0.373], [0.373, 0.882, 0.373], [0.373, 0.373, 0.882], [0.750, 0.750, 0.750], [0.000, 0.000, 0.000]]}

---

Record 7
{"formula": "YMnAg2", "functional": "PBE", "state": "relaxed", "crystal_system": "tetragonal", "dos_ef_per_ev_cell": 2.3, "density_g_cm3": 7.37, "formation_enthalpy_0k_mev_per_atom": 28, "space_group": "No. 99", "cell": [[3.540, -0.042, 0.000], [0.042, 3.540, 0.000], [0.000, 0.000, 6.469]], "species": ["Ag", "Ag", "Y", "Mn"], "frac_coords": [[0.500, 0.500, 0.260], [0.000, 0.000, 0.029], [0.500, 0.500, 0.747], [0.000, 0.000, 0.464]]}

---

Record 8
{"formula": "YMn3Ag", "functional": "PBE", "state": "relaxed", "crystal_system": "cubic", "dos_ef_per_ev_cell": 6.3, "de_polymorph_mev_per_atom": 0, "density_g_cm3": 5.09, "formation_enthalpy_0k_mev_per_atom": 872, "space_group": "No. 221", "cell": [[4.904, 0.000, 0.000], [0.000, 4.904, 0.000], [0.000, 0.000, 4.904]], "species": ["Mn", "Mn", "Mn", "Ag", "Y"], "frac_coords": [[0.000, 0.000, 0.500], [0.500, 0.000, 0.000], [0.000, 0.500, 0.000], [0.000, 0.000, 0.000], [0.500, 0.500, 0.500]]}

---

Record 9
{"formula": "YMn2Ag", "functional": "PBE", "state": "relaxed", "crystal_system": "tetragonal", "dos_ef_per_ev_cell": 5.5, "de_polymorph_mev_per_atom": 186, "density_g_cm3": 6.50, "formation_enthalpy_0k_mev_per_atom": 306, "space_group": "No. 119", "cell": [[4.813, 0.000, 0.000], [0.056, 4.813, 0.000], [-2.435, -2.406, 3.384]], "species": ["Mn", "Mn", "Ag", "Y"], "frac_coords": [[0.000, 0.000, 0.000], [0.250, 0.750, 0.500], [0.750, 0.250, 0.500], [0.500, 0.500, 0.000]]}

---

Record 10
{"formula": "YMn2Ag", "functional": "PBE", "state": "relaxed", "crystal_system": "trigonal", "dos_ef_per_ev_cell": 2.9, "de_polymorph_mev_per_atom": 22, "density_g_cm3": 6.47, "formation_enthalpy_0k_mev_per_atom": 142, "space_group": "No. 160", "cell": [[5.379, -0.599, -0.368], [4.083, 3.552, -0.368], [4.083, 1.274, 3.336]], "species": ["Mn", "Mn", "Ag", "Y"], "frac_coords": [[0.299, 0.299, 0.299], [0.980, 0.980, 0.980], [0.717, 0.717, 0.717], [0.504, 0.504, 0.504]]}

---

Record 11
{"formula": "YMn2Ag", "functional": "PBE", "state": "relaxed", "crystal_system": "tetragonal", "dos_ef_per_ev_cell": 6.8, "de_polymorph_mev_per_atom": 417, "density_g_cm3": 6.17, "formation_enthalpy_0k_mev_per_atom": 537, "space_group": "No. 122", "cell": [[-0.673, 3.871, -1.107], [-3.662, -1.055, -1.464], [-6.231, 3.232, 7.565]], "species": ["Mn", "Mn", "Mn", "Mn", "Y", "Y", "Ag", "Ag"], "frac_coords": [[0.107, 0.625, 0.250], [0.643, 0.125, 0.250], [0.875, 0.893, 0.750], [0.375, 0.357, 0.750], [0.500, 0.500, 0.000], [0.250, 0.750, 0.500], [0.000, 0.000, 0.000], [0.750, 0.250, 0.500]]}

---

Record 12
{"formula": "YMnAg2", "functional": "PBE", "state": "relaxed", "crystal_system": "trigonal", "dos_ef_per_ev_cell": 2.2, "density_g_cm3": 7.21, "formation_enthalpy_0k_mev_per_atom": 266, "space_group": "No. 166", "cell": [[9.598, 0.008, 0.005], [9.066, 3.151, 0.005], [9.066, 1.535, 2.752]], "species": ["Ag", "Ag", "Y", "Mn"], "frac_coords": [[0.509, 0.509, 0.509], [0.991, 0.991, 0.991], [0.750, 0.750, 0.750], [0.250, 0.250, 0.250]]}

---

Record 13
{"formula": "Y2MnAg", "functional": "PBE", "state": "relaxed", "crystal_system": "monoclinic", "dos_ef_per_ev_cell": 3.0, "density_g_cm3": 5.99, "formation_enthalpy_0k_mev_per_atom": 27, "space_group": "No. 8", "cell": [[5.909, 0.007, 0.001], [4.902, 3.300, 0.001], [1.546, 0.473, 4.854]], "species": ["Mn", "Y", "Y", "Ag"], "frac_coords": [[0.226, 0.226, 0.226], [0.979, 0.979, 0.055], [0.768, 0.768, 0.705], [0.527, 0.527, 0.515]]}

---

Record 14
{"formula": "Y2MnAg", "functional": "PBE", "state": "relaxed", "crystal_system": "monoclinic", "dos_ef_per_ev_cell": 4.7, "density_g_cm3": 5.79, "formation_enthalpy_0k_mev_per_atom": 214, "space_group": "No. 12", "cell": [[3.550, -0.001, -0.006], [1.940, 2.973, -0.006], [1.483, 0.803, 9.257]], "species": ["Y", "Y", "Ag", "Mn"], "frac_coords": [[0.998, 0.998, 0.010], [0.502, 0.502, 0.490], [0.750, 0.750, 0.750], [0.250, 0.250, 0.250]]}

---

Record 15
{"formula": "YMnAg2", "functional": "PBE", "state": "relaxed", "crystal_system": "tetragonal", "dos_ef_per_ev_cell": 6.7, "density_g_cm3": 6.93, "formation_enthalpy_0k_mev_per_atom": 340, "space_group": "No. 122", "cell": [[-0.854, -0.143, 4.036], [-0.136, -4.122, -0.175], [9.387, -2.546, 4.007]], "species": ["Mn", "Mn", "Ag", "Ag", "Ag", "Ag", "Y", "Y"], "frac_coords": [[0.500, 0.500, 0.000], [0.250, 0.750, 0.500], [0.875, 0.849, 0.750], [0.599, 0.125, 0.250], [0.375, 0.401, 0.750], [0.151, 0.625, 0.250], [0.000, 0.000, 0.000], [0.750, 0.250, 0.500]]}

---

Record 16
{"formula": "Y2MnAg", "functional": "PBE", "state": "relaxed", "crystal_system": "tetragonal", "dos_ef_per_ev_cell": 4.3, "density_g_cm3": 6.05, "formation_enthalpy_0k_mev_per_atom": -70, "space_group": "No. 123", "cell": [[-0.806, 0.693, 3.418], [-3.487, -0.164, -0.790], [0.008, -7.154, 1.452]], "species": ["Ag", "Y", "Y", "Mn"], "frac_coords": [[0.500, 0.500, 0.250], [0.000, 0.000, 0.989], [0.000, 0.000, 0.511], [0.500, 0.500, 0.750]]}

---

Record 17
{"formula": "YMn2Ag", "functional": "PBE", "state": "relaxed", "crystal_system": "cubic", "dos_ef_per_ev_cell": 7.2, "de_polymorph_mev_per_atom": 224, "density_g_cm3": 6.75, "formation_enthalpy_0k_mev_per_atom": 344, "space_group": "No. 225", "cell": [[0.000, 3.354, 3.354], [3.354, 0.000, 3.354], [3.354, 3.354, 0.000]], "species": ["Mn", "Mn", "Ag", "Y"], "frac_coords": [[0.750, 0.750, 0.750], [0.250, 0.250, 0.250], [0.500, 0.500, 0.500], [0.000, 0.000, 0.000]]}

---

Record 18
{"formula": "YMnAg4", "functional": "PBE", "state": "relaxed", "crystal_system": "cubic", "dos_ef_per_ev_cell": 5.8, "density_g_cm3": 7.92, "formation_enthalpy_0k_mev_per_atom": 48, "space_group": "No. 216", "cell": [[0.000, 3.922, 3.922], [3.922, 0.000, 3.922], [3.922, 3.922, 0.000]], "species": ["Mn", "Ag", "Ag", "Ag", "Ag", "Y"], "frac_coords": [[0.750, 0.750, 0.750], [0.376, 0.376, 0.873], [0.376, 0.873, 0.376], [0.376, 0.376, 0.376], [0.873, 0.376, 0.376], [0.000, 0.000, 0.000]]}

---

Record 19
{"formula": "YMnAg", "functional": "PBE", "state": "relaxed", "crystal_system": "hexagonal", "dos_ef_per_ev_cell": 2.9, "density_g_cm3": 6.37, "formation_enthalpy_0k_mev_per_atom": 79, "space_group": "No. 187", "cell": [[-1.182, 3.343, -3.001], [-3.220, -1.877, 2.773], [0.683, 2.430, 2.438]], "species": ["Ag", "Y", "Mn"], "frac_coords": [[0.000, 0.000, 0.166], [0.333, 0.667, 0.667], [0.667, 0.333, 0.167]]}

---

Record 20
{"formula": "YMn2Ag", "functional": "PBE", "state": "relaxed", "crystal_system": "trigonal", "dos_ef_per_ev_cell": 3.8, "de_polymorph_mev_per_atom": 390, "density_g_cm3": 6.34, "formation_enthalpy_0k_mev_per_atom": 510, "space_group": "No. 166", "cell": [[-8.661, 3.381, 1.745], [-9.183, 2.010, -1.056], [-9.320, 0.292, 1.595]], "species": ["Ag", "Mn", "Mn", "Y"], "frac_coords": [[0.750, 0.750, 0.750], [0.006, 0.006, 0.006], [0.494, 0.494, 0.494], [0.250, 0.250, 0.250]]}

---

Record 21
{"formula": "YMnAg3", "functional": "PBE", "state": "relaxed", "crystal_system": "cubic", "dos_ef_per_ev_cell": 3.7, "de_polymorph_mev_per_atom": 0, "density_g_cm3": 6.53, "formation_enthalpy_0k_mev_per_atom": 449, "space_group": "No. 221", "cell": [[4.917, 0.000, 0.000], [0.000, 4.917, 0.000], [0.000, 0.000, 4.917]], "species": ["Mn", "Ag", "Ag", "Ag", "Y"], "frac_coords": [[0.000, 0.000, 0.000], [0.500, 0.000, 0.000], [0.000, 0.500, 0.000], [0.000, 0.000, 0.500], [0.500, 0.500, 0.500]]}

---

Record 22
{"formula": "YMn2Ag", "functional": "PBE", "state": "relaxed", "crystal_system": "monoclinic", "dos_ef_per_ev_cell": 4.2, "de_polymorph_mev_per_atom": 186, "density_g_cm3": 6.59, "formation_enthalpy_0k_mev_per_atom": 306, "space_group": "No. 12", "cell": [[5.475, -0.013, 0.009], [4.271, 3.426, 0.009], [1.922, 0.673, 4.110]], "species": ["Y", "Mn", "Mn", "Ag"], "frac_coords": [[0.750, 0.750, 0.750], [0.514, 0.514, 0.486], [0.986, 0.986, 0.014], [0.250, 0.250, 0.250]]}

---

Record 23
{"formula": "YMn2Ag", "functional": "PBE", "state": "relaxed", "crystal_system": "tetragonal", "dos_ef_per_ev_cell": 4.4, "de_polymorph_mev_per_atom": 135, "density_g_cm3": 6.84, "formation_enthalpy_0k_mev_per_atom": 255, "space_group": "No. 119", "cell": [[-0.265, 4.708, 2.359], [-1.201, 1.595, 4.880], [3.324, 0.847, 2.280]], "species": ["Ag", "Mn", "Mn", "Y"], "frac_coords": [[0.250, 0.250, 0.250], [0.000, 0.000, 0.000], [0.750, 0.750, 0.750], [0.500, 0.500, 0.500]]}

---

Record 24
{"formula": "YMnAg2", "functional": "PBE", "state": "relaxed", "crystal_system": "trigonal", "dos_ef_per_ev_cell": 2.2, "density_g_cm3": 7.24, "formation_enthalpy_0k_mev_per_atom": 270, "space_group": "No. 160", "cell": [[9.551, -0.015, -0.009], [9.025, 3.128, -0.009], [9.025, 1.513, 2.738]], "species": ["Ag", "Ag", "Y", "Mn"], "frac_coords": [[0.995, 0.995, 0.995], [0.247, 0.247, 0.247], [0.752, 0.752, 0.752], [0.506, 0.506, 0.506]]}

---

Record 25
{"formula": "YMnAg2", "functional": "PBE", "state": "relaxed", "crystal_system": "tetragonal", "dos_ef_per_ev_cell": 3.3, "density_g_cm3": 7.48, "formation_enthalpy_0k_mev_per_atom": 64, "space_group": "No. 119", "cell": [[-0.914, -0.958, 5.028], [-3.868, -3.469, 0.215], [4.450, -0.090, -2.689]], "species": ["Ag", "Ag", "Mn", "Y"], "frac_coords": [[0.750, 0.250, 0.500], [0.000, 0.000, 0.000], [0.500, 0.500, 0.000], [0.250, 0.750, 0.500]]}

---

Record 26
{"formula": "YMnAg", "functional": "PBE", "state": "relaxed", "crystal_system": "cubic", "dos_ef_per_ev_cell": 3.1, "density_g_cm3": 5.61, "formation_enthalpy_0k_mev_per_atom": 326, "space_group": "No. 216", "cell": [[-0.360, 4.567, -1.154], [-3.474, 1.448, -2.856], [-3.547, 2.600, 1.725]], "species": ["Ag", "Y", "Mn"], "frac_coords": [[0.750, 0.750, 0.750], [0.500, 0.500, 0.500], [0.000, 0.000, 0.000]]}

---

Record 27
{"formula": "YMn2Ag", "functional": "PBE", "state": "relaxed", "crystal_system": "monoclinic", "dos_ef_per_ev_cell": 5.6, "de_polymorph_mev_per_atom": 320, "density_g_cm3": 6.68, "formation_enthalpy_0k_mev_per_atom": 441, "space_group": "No. 12", "cell": [[-0.974, -2.310, -4.960], [-3.111, -1.589, 4.026], [-2.521, 1.434, -0.917]], "species": ["Mn", "Mn", "Ag", "Y"], "frac_coords": [[0.000, 0.000, 0.000], [0.000, 0.500, 0.500], [0.500, 0.000, 0.500], [0.500, 0.500, 0.000]]}

---

Record 28
{"formula": "Y2MnAg", "functional": "PBE", "state": "relaxed", "crystal_system": "cubic", "dos_ef_per_ev_cell": 5.1, "density_g_cm3": 6.33, "formation_enthalpy_0k_mev_per_atom": 206, "space_group": "No. 216", "cell": [[-0.233, 3.847, 3.214], [0.974, -0.735, 4.868], [4.209, 1.839, 2.022]], "species": ["Y", "Y", "Ag", "Mn"], "frac_coords": [[0.250, 0.250, 0.250], [0.000, 0.000, 0.000], [0.500, 0.500, 0.500], [0.750, 0.750, 0.750]]}

---

Record 29
{"formula": "YMn2Ag", "functional": "PBE", "state": "relaxed", "crystal_system": "tetragonal", "dos_ef_per_ev_cell": 2.8, "de_polymorph_mev_per_atom": 0, "density_g_cm3": 6.96, "formation_enthalpy_0k_mev_per_atom": 120, "space_group": "No. 99", "cell": [[-0.972, -1.020, 2.862], [0.490, -3.018, -0.910], [6.756, 0.367, 2.425]], "species": ["Mn", "Mn", "Ag", "Y"], "frac_coords": [[0.000, 0.000, 0.030], [0.500, 0.500, 0.194], [0.500, 0.500, 0.795], [0.000, 0.000, 0.481]]}

---

Record 30
{"formula": "Y2MnAg", "functional": "PBE", "state": "relaxed", "crystal_system": "tetragonal", "dos_ef_per_ev_cell": 4.4, "density_g_cm3": 5.86, "formation_enthalpy_0k_mev_per_atom": 78, "space_group": "No. 99", "cell": [[3.532, 0.003, 0.000], [-0.002, 3.532, 0.000], [0.000, 0.000, 7.741]], "species": ["Y", "Y", "Ag", "Mn"], "frac_coords": [[0.500, 0.500, 0.298], [0.000, 0.000, 0.950], [0.000, 0.000, 0.540], [0.500, 0.500, 0.713]]}